Entry 1:
Material: Dy3Ge2Pt7
Method: DFT, PBE
State: relaxed

Cell: 14.7011 14.7011 4.0152 Å, 90.00 90.00 163.88°
Element x y z (fractional)
Dy 0.0000 0.0000 0.0000
Dy 0.2036 0.7964 0.0000
Dy 0.7964 0.2036 0.0000
Ge 0.4166 0.5834 0.5000
Ge 0.5834 0.4166 0.5000
Pt 0.1327 0.8673 0.5000
Pt 0.2875 0.7125 0.5000
Pt 0.3662 0.6338 0.0000
Pt 0.5000 0.5000 0.5000
Pt 0.6338 0.3662 0.0000
Pt 0.7125 0.2875 0.5000
Pt 0.8673 0.1327 0.5000

The energy above the most stable polymorph in this dataset comes out at 148 meV per atom. The calculation puts the total magnetization at 0.00 μB per atom. For the energy, the calculation gives -0.2326 Ha/atom. Its space group is Cmmm, No. 65. The energy of formation comes out at -0.8857 eV per atom.

Entry 2:
Material: DyGePt3
Method: DFT, PBE
State: relaxed

Cell: 5.6211 7.0615 5.0718 Å, 90.00 90.00 90.00°
Element x y z (fractional)
Dy 0.0000 0.0000 0.0000
Dy 0.5000 0.5000 0.0000
Ge 0.0000 0.5000 0.5000
Ge 0.5000 0.0000 0.5000
Pt 0.0000 0.5000 0.0000
Pt 0.1232 0.1725 0.5000
Pt 0.3768 0.6725 0.5000
Pt 0.5000 0.0000 0.0000
Pt 0.6232 0.3275 0.5000
Pt 0.8768 0.8275 0.5000

The energy above the most stable polymorph in this dataset comes out at 225 meV per atom. The calculation puts the total magnetization at 0.00 μB per atom. For the energy, the calculation gives -0.2239 Ha/atom. Its space group is Pbam, No. 55. The energy of formation comes out at -0.6248 eV per atom.

Entry 3:
Material: DyGePt4
Method: DFT, PBE
State: relaxed

Cell: 4.6166 5.5504 9.0503 Å, 72.24 77.25 89.98°
Element x y z (fractional)
Dy 0.2502 0.2269 0.4994
Dy 0.7498 0.7731 0.5006
Ge 0.0000 0.5000 0.0000
Ge 0.5000 0.0000 0.0000
Pt 0.0989 0.9753 0.8413
Pt 0.1612 0.5438 0.7024
Pt 0.3392 0.7470 0.2978
Pt 0.4010 0.3169 0.1579
Pt 0.5990 0.6831 0.8421
Pt 0.6608 0.2530 0.7022
Pt 0.8388 0.4562 0.2976
Pt 0.9011 0.0247 0.1587

The energy above the most stable polymorph in this dataset comes out at 126 meV per atom. The calculation puts the total magnetization at 0.00 μB per atom. For the energy, the calculation gives -0.2282 Ha/atom. Its space group is P-1, No. 2. The energy of formation comes out at -0.6464 eV per atom.

Entry 4:
Material: DyGe2Pt7
Method: DFT, PBE
State: relaxed

Cell: 7.2148 7.2148 4.4328 Å, 90.00 90.00 119.19°
Element x y z (fractional)
Dy 0.0000 0.0000 0.0000
Ge 0.3028 0.6972 0.5000
Ge 0.6972 0.3028 0.5000
Pt 0.0733 0.3010 0.5000
Pt 0.2235 0.7765 0.0000
Pt 0.3010 0.0733 0.5000
Pt 0.5000 0.5000 0.5000
Pt 0.6990 0.9267 0.5000
Pt 0.7765 0.2235 0.0000
Pt 0.9267 0.6990 0.5000

The energy above the most stable polymorph in this dataset comes out at 325 meV per atom. The calculation puts the total magnetization at 0.00 μB per atom. For the energy, the calculation gives -0.2194 Ha/atom. Its space group is Cmmm, No. 65. The energy of formation comes out at -0.3582 eV per atom.

Entry 5:
Material: DyGePt6
Method: DFT, PBE
State: relaxed

Cell: 4.0577 4.0577 8.0535 Å, 90.00 90.00 90.00°
Element x y z (fractional)
Dy 0.0000 0.0000 0.0000
Ge 0.0000 0.0000 0.5000
Pt 0.0000 0.5000 0.2616
Pt 0.0000 0.5000 0.7384
Pt 0.5000 0.0000 0.2616
Pt 0.5000 0.0000 0.7384
Pt 0.5000 0.5000 0.0000
Pt 0.5000 0.5000 0.5000

The energy above the most stable polymorph in this dataset comes out at 0 meV per atom. The calculation puts the total magnetization at 0.00 μB per atom. For the energy, the calculation gives -0.2321 Ha/atom. Its space group is P4/mmm, No. 123. The energy of formation comes out at -0.6340 eV per atom.

Entry 6:
Material: DyGePt4
Method: DFT, PBE
State: relaxed

Cell: 5.3709 5.3709 5.3709 Å, 60.00 60.00 60.00°
Element x y z (fractional)
Dy 0.0000 0.0000 0.0000
Ge 0.7500 0.7500 0.7500
Pt 0.3752 0.3752 0.3752
Pt 0.3752 0.3752 0.8744
Pt 0.3752 0.8744 0.3752
Pt 0.8744 0.3752 0.3752

The energy above the most stable polymorph in this dataset comes out at 125 meV per atom. The calculation puts the total magnetization at 0.00 μB per atom. For the energy, the calculation gives -0.2282 Ha/atom. Its space group is F-43m, No. 216. The energy of formation comes out at -0.6470 eV per atom.

Entry 7:
Material: Dy2Ge3Pt5
Method: DFT, PBE
State: relaxed

Cell: 12.3864 12.3864 6.8582 Å, 90.00 90.00 160.06°
Element x y z (fractional)
Dy 0.0251 0.9749 0.5000
Dy 0.3260 0.6740 0.4595
Dy 0.6740 0.3260 0.9595
Dy 0.9749 0.0251 0.0000
Ge 0.1225 0.8775 0.2603
Ge 0.2737 0.7263 0.9061
Ge 0.4516 0.5484 0.2914
Ge 0.5484 0.4516 0.7914
Ge 0.7263 0.2737 0.4061
Ge 0.8775 0.1225 0.7603
Pt 0.0934 0.9066 0.8955
Pt 0.1924 0.8076 0.6445
Pt 0.2258 0.7742 0.2171
Pt 0.3756 0.6244 0.9957
Pt 0.4487 0.5513 0.6690
Pt 0.5513 0.4487 0.1690
Pt 0.6244 0.3756 0.4957
Pt 0.7742 0.2258 0.7171
Pt 0.8076 0.1924 0.1445
Pt 0.9066 0.0934 0.3955

The energy above the most stable polymorph in this dataset comes out at 4 meV per atom. The calculation puts the total magnetization at 0.00 μB per atom. For the energy, the calculation gives -0.2281 Ha/atom. Its space group is Cmc2_1, No. 36. The energy of formation comes out at -0.8807 eV per atom.

Entry 8:
Material: Dy2Ge5Pt3
Method: DFT, PBE
State: relaxed

Cell: 12.4229 12.4229 7.0322 Å, 90.00 90.00 159.90°
Element x y z (fractional)
Dy 0.0209 0.9791 0.5000
Dy 0.3261 0.6739 0.4957
Dy 0.6739 0.3261 0.9957
Dy 0.9791 0.0209 0.0000
Ge 0.1017 0.8983 0.1446
Ge 0.2038 0.7962 0.6789
Ge 0.2114 0.7886 0.2629
Ge 0.3811 0.6189 0.0230
Ge 0.4523 0.5477 0.3391
Ge 0.5477 0.4523 0.8391
Ge 0.6189 0.3811 0.5230
Ge 0.7886 0.2114 0.7629
Ge 0.7962 0.2038 0.1789
Ge 0.8983 0.1017 0.6446
Pt 0.1050 0.8950 0.7741
Pt 0.2771 0.7229 0.9580
Pt 0.4452 0.5548 0.7190
Pt 0.5548 0.4452 0.2190
Pt 0.7229 0.2771 0.4580
Pt 0.8950 0.1050 0.2741

The calculation puts the total magnetization at 0.00 μB per atom. For the energy, the calculation gives -0.2142 Ha/atom. Its space group is Cmc2_1, No. 36. The energy of formation comes out at -0.7887 eV per atom.

Entry 9:
Material: DyGe2Pt5
Method: DFT, PBE
State: relaxed

Cell: 6.4705 6.4705 6.4705 Å, 145.09 111.89 78.88°
Element x y z (fractional)
Dy 0.0000 0.0000 0.0000
Ge 0.2498 0.7498 0.5000
Ge 0.7502 0.2502 0.5000
Pt 0.1560 0.3593 0.7967
Pt 0.4374 0.6407 0.7967
Pt 0.5000 0.0000 0.5000
Pt 0.5626 0.3593 0.2033
Pt 0.8440 0.6407 0.2033

The calculation puts the total magnetization at 0.00 μB per atom. For the energy, the calculation gives -0.2279 Ha/atom. Its space group is Immm, No. 71. The energy of formation comes out at -0.6960 eV per atom.

Entry 10:
Material: DyGe2Pt4
Method: DFT, PBE
State: relaxed

Cell: 16.4450 4.1350 7.3093 Å, 90.00 90.00 90.00°
Element x y z (fractional)
Dy 0.1491 0.2500 0.0737
Dy 0.3509 0.7500 0.5737
Dy 0.6491 0.2500 0.4263
Dy 0.8509 0.7500 0.9263
Ge 0.0220 0.7500 0.2485
Ge 0.1868 0.2500 0.6253
Ge 0.3132 0.7500 0.1253
Ge 0.4780 0.2500 0.7485
Ge 0.5220 0.7500 0.2515
Ge 0.6868 0.2500 0.8747
Ge 0.8132 0.7500 0.3747
Ge 0.9780 0.2500 0.7515
Pt 0.0443 0.7500 0.9043
Pt 0.0541 0.2500 0.4404
Pt 0.1720 0.7500 0.3991
Pt 0.2149 0.7500 0.8253
Pt 0.2851 0.2500 0.3253
Pt 0.3280 0.2500 0.8991
Pt 0.4459 0.7500 0.9404
Pt 0.4557 0.2500 0.4043
Pt 0.5443 0.7500 0.5957
Pt 0.5541 0.2500 0.0596
Pt 0.6720 0.7500 0.1009
Pt 0.7149 0.7500 0.6747
Pt 0.7851 0.2500 0.1747
Pt 0.8280 0.2500 0.6009
Pt 0.9459 0.7500 0.5596
Pt 0.9557 0.2500 0.0957

The calculation puts the total magnetization at 0.00 μB per atom. For the energy, the calculation gives -0.2265 Ha/atom. Its space group is Pnma, No. 62. The energy of formation comes out at -0.7342 eV per atom.

Entry 11:
Material: Dy2GePt
Method: DFT, PBE
State: relaxed

Cell: 5.8179 4.3006 7.8372 Å, 90.00 110.47 90.00°
Element x y z (fractional)
Dy 0.2155 0.2500 0.4409
Dy 0.2260 0.2500 0.9148
Dy 0.7740 0.7500 0.0852
Dy 0.7845 0.7500 0.5591
Ge 0.3239 0.7500 0.2057
Ge 0.6761 0.2500 0.7943
Pt 0.3447 0.7500 0.7096
Pt 0.6553 0.2500 0.2904

The calculation puts the total magnetization at 0.00 μB per atom. For the energy, the calculation gives -0.2225 Ha/atom. Its space group is P2_1/m, No. 11. The energy of formation comes out at -1.0886 eV per atom.

Entry 12:
Material: DyGePt4
Method: DFT, PBE
State: relaxed

Cell: 7.6136 4.0089 6.9567 Å, 90.00 90.00 90.00°
Element x y z (fractional)
Dy 0.2500 0.0000 0.1410
Dy 0.7500 0.0000 0.8590
Ge 0.2500 0.0000 0.7275
Ge 0.7500 0.0000 0.2725
Pt 0.0000 0.0000 0.5000
Pt 0.0483 0.5000 0.8078
Pt 0.2500 0.5000 0.4446
Pt 0.4517 0.5000 0.8078
Pt 0.5000 0.0000 0.5000
Pt 0.5483 0.5000 0.1922
Pt 0.7500 0.5000 0.5554
Pt 0.9517 0.5000 0.1922

The energy above the most stable polymorph in this dataset comes out at 0 meV per atom. The calculation puts the total magnetization at 0.00 μB per atom. For the energy, the calculation gives -0.2328 Ha/atom. Its space group is Pmma, No. 51. The energy of formation comes out at -0.7720 eV per atom.